[1]
A plane-wave DFT calculation with PBE was carried out for a geometry-optimized PmAlGa3 structure.

Cell: 4.247 4.190 11.754 Å, 100.27 90.00 90.00°
Fractional coordinates of all 10 atoms:
Pm: 0.750 0.919 0.837
Pm: 0.250 0.081 0.163
Ga: 0.750 0.306 0.612
Ga: 0.250 0.475 0.949
Ga: 0.250 0.694 0.388
Ga: 0.750 0.631 0.262
Ga: 0.250 0.369 0.738
Ga: 0.750 0.525 0.051
Al: 0.750 0.197 0.395
Al: 0.250 0.803 0.605

Summary:
- ΔH_f (0 K) (eV per formula unit) = -2.2
- energy above the lowest structure with this stoichiometry (meV per atom) = 0
- VASP energy (eV per atom) = -3.95
- V (Å³/cell) = 205.8

[2]
A plane-wave DFT calculation with PBE was carried out for a geometry-optimized Zn2Au structure.

Cell: 2.956 5.180 6.721 Å, 76.94 90.00 106.57°
Fractional coordinates of all 6 atoms:
Zn: 0.044 0.088 0.397
Zn: 0.678 0.357 0.658
Zn: 0.004 0.008 0.004
Zn: 0.718 0.437 0.052
Au: 0.398 0.795 0.733
Au: 0.325 0.649 0.323

Summary:
- ΔH_f (0 K) (eV per formula unit) = -0.4
- VASP energy (eV per atom) = -2.09
- V (Å³/cell) = 95.9

Q: What is the ΔH_f (0 K) in the first record?
A: -2.2 eV per formula unit

Q: What is the formula in the first record?
A: PmAlGa3